1.
# LaZr2Sb (PBE, relaxed)
data_LaZr2Sb
_cell_length_a 8.622
_cell_length_b 8.622
_cell_length_c 6.205
_cell_angle_alpha 90.00
_cell_angle_beta 90.00
_cell_angle_gamma 90.00
_space_group_name_H-M_alt 'I -4 2 d'
_space_group_IT_number 122
_space_group_name_Hall 'I -4 2bw'
loop_
_atom_site_label
_atom_site_type_symbol
_atom_site_fract_x
_atom_site_fract_y
_atom_site_fract_z
La1 La 0.000 0.000 0.000
Zr1 Zr 0.202 0.250 0.625
Sb1 Sb 0.000 0.000 0.500
# Density (g cm⁻³): 6.38
# Electronic total energy (Ha/atom): -0.2384
# ΔE_f (raw) (eV per atom): 0.05
# Size of the total moment (μB/cell): 0.00



2.
# La2ZrSb (PBE, relaxed)
data_La2ZrSb
_cell_length_a 8.859
_cell_length_b 8.859
_cell_length_c 6.205
_cell_angle_alpha 90.00
_cell_angle_beta 90.00
_cell_angle_gamma 90.00
_space_group_name_H-M_alt 'I -4 2 d'
_space_group_IT_number 122
_space_group_name_Hall 'I -4 2bw'
loop_
_atom_site_label
_atom_site_type_symbol
_atom_site_fract_x
_atom_site_fract_y
_atom_site_fract_z
La1 La 0.242 0.750 0.125
Zr1 Zr 0.000 0.000 0.500
Sb1 Sb 0.000 0.000 0.000
# Density (g cm⁻³): 6.69
# Electronic total energy (Ha/atom): -0.2095
# ΔE_f (raw) (eV per atom): -0.07
# Size of the total moment (μB/cell): 0.00



3.
# LaZrSb2 (PBE, relaxed)
data_LaZrSb2
_cell_length_a 4.389
_cell_length_b 4.389
_cell_length_c 6.169
_cell_angle_alpha 90.00
_cell_angle_beta 90.00
_cell_angle_gamma 90.00
_space_group_name_H-M_alt 'P 4/m m m'
_space_group_IT_number 123
_space_group_name_Hall '-P 4 2'
loop_
_atom_site_label
_atom_site_type_symbol
_atom_site_fract_x
_atom_site_fract_y
_atom_site_fract_z
La1 La 0.000 0.000 0.000
Zr1 Zr 0.500 0.500 0.500
Sb1 Sb 0.000 0.000 0.500
Sb2 Sb 0.500 0.500 0.000
# Density (g cm⁻³): 6.62
# Offset from the most stable computed form (eV per formula unit): 0.57
# Electronic total energy (Ha/atom): -0.2284
# ΔE_f (raw) (eV per atom): -0.78
# Size of the total moment (μB/cell): 0.00



4.
# LaZrSb2 (PBE, relaxed)
data_LaZrSb2
_cell_length_a 4.3371
_cell_length_b 4.3371
_cell_length_c 21.6490
_cell_angle_alpha 90.00
_cell_angle_beta 90.00
_cell_angle_gamma 120.00
_space_group_name_H-M_alt 'R -3 m'
_space_group_IT_number 166
_space_group_name_Hall '-R 3 2"'
loop_
_atom_site_label
_atom_site_type_symbol
_atom_site_fract_x
_atom_site_fract_y
_atom_site_fract_z
La1 La 0.0000 0.0000 0.0000
Zr1 Zr 0.0000 0.0000 0.5000
Sb1 Sb 0.0000 0.0000 0.2407
# Density (g cm⁻³): 6.69
# Offset from the most stable computed form (eV per formula unit): 0.00
# Electronic total energy (Ha/atom): -0.2336
# ΔE_f (raw) (eV per atom): -0.93
# Size of the total moment (μB/cell): 0.00



5.
# La2ZrSb (PBE, relaxed)
data_La2ZrSb
_cell_length_a 4.772
_cell_length_b 4.772
_cell_length_c 4.886
_cell_angle_alpha 90.00
_cell_angle_beta 90.00
_cell_angle_gamma 90.00
_space_group_name_H-M_alt 'P 4/m m m'
_space_group_IT_number 123
_space_group_name_Hall '-P 4 2'
loop_
_atom_site_label
_atom_site_type_symbol
_atom_site_fract_x
_atom_site_fract_y
_atom_site_fract_z
La1 La 0.000 0.500 0.000
Zr1 Zr 0.000 0.000 0.500
Sb1 Sb 0.500 0.500 0.500
# Density (g cm⁻³): 7.33
# Electronic total energy (Ha/atom): -0.2226
# ΔE_f (raw) (eV per atom): -0.43
# Size of the total moment (μB/cell): 0.00



6.
# LaZrSb2 (PBE, relaxed)
data_LaZrSb2
_cell_length_a 4.2687
_cell_length_b 4.2687
_cell_length_c 22.7532
_cell_angle_alpha 90.00
_cell_angle_beta 90.00
_cell_angle_gamma 120.00
_space_group_name_H-M_alt 'R 3 m'
_space_group_IT_number 160
_space_group_name_Hall 'R 3 -2"'
loop_
_atom_site_label
_atom_site_type_symbol
_atom_site_fract_x
_atom_site_fract_y
_atom_site_fract_z
La1 La 0.0000 0.0000 0.0000
Zr1 Zr 0.0000 0.0000 0.1728
Sb1 Sb 0.0000 0.0000 0.4287
Sb2 Sb 0.0000 0.0000 0.5788
# Density (g cm⁻³): 6.57
# Offset from the most stable computed form (eV per formula unit): 0.35
# Electronic total energy (Ha/atom): -0.2304
# ΔE_f (raw) (eV per atom): -0.84
# Size of the total moment (μB/cell): 0.59